1.
## HoSb3 (PBE-GGA)

Data for HoSb3 after structural relaxation.

Computed properties:
The space group is I4/mmm (139). For the formation energy without anion corrections, the calculation gives -38.7 kJ/mol of atoms. As for the crystal system: tetragonal. The value obtained for the mass density is 8.166 g cm⁻³.

```
HoSb3
1.0
4.460 0.000 0.000
0.000 4.460 0.000
0.000 0.000 10.842
Ho Sb
2 6
Direct
0.000 0.000 0.000
0.500 0.500 0.500
0.000 0.000 0.500
0.000 0.500 0.250
0.000 0.500 0.750
0.500 0.000 0.250
0.500 0.000 0.750
0.500 0.500 0.000
```

=====

2.
## HoSb4 (PBE-GGA)

Data for HoSb4 after structural relaxation.

Computed properties:
The space group is Pm-3m (221). For the formation energy without anion corrections, the calculation gives 49.5 kJ/mol of atoms. As for the crystal system: cubic. The value obtained for the mass density is 5.782 g cm⁻³.

```
HoSb4
1.0
5.721 0.000 0.000
0.000 5.721 0.000
0.000 0.000 5.721
Ho Sb
1 4
Direct
0.000 0.000 0.000
0.000 0.000 0.500
0.000 0.500 0.000
0.500 0.000 0.000
0.500 0.500 0.500
```

=====

3.
## HoSb3 (PBE-GGA)

Data for HoSb3 after structural relaxation.

Computed properties:
The space group is P6_3/mmc (194). For the formation energy without anion corrections, the calculation gives -36.6 kJ/mol of atoms. As for the crystal system: hexagonal. The value obtained for the mass density is 8.151 g cm⁻³.

```
HoSb3
1.0
6.593 0.000 0.000
-3.297 5.710 0.000
0.000 0.000 5.739
Ho Sb
2 6
Direct
0.333 0.667 0.250
0.667 0.333 0.750
0.175 0.351 0.750
0.175 0.825 0.750
0.351 0.175 0.250
0.649 0.825 0.750
0.825 0.175 0.250
0.825 0.649 0.250
```

=====

4.
## HoSb6 (PBE-GGA)

Data for HoSb6 after structural relaxation.

Computed properties:
The space group is Im-3m (229). For the formation energy without anion corrections, the calculation gives 56.8 kJ/mol of atoms. As for the crystal system: cubic. The value obtained for the mass density is 5.133 g cm⁻³.

```
HoSb6
1.0
8.337 0.000 0.000
0.000 8.337 0.000
0.000 0.000 8.337
Ho Sb
2 12
Direct
0.000 0.000 0.000
0.500 0.500 0.500
0.000 0.250 0.500
0.000 0.500 0.250
0.000 0.500 0.750
0.000 0.750 0.500
0.250 0.000 0.500
0.250 0.500 0.000
0.500 0.000 0.250
0.500 0.000 0.750
0.500 0.250 0.000
0.500 0.750 0.000
0.750 0.000 0.500
0.750 0.500 0.000
```

=====

5.
## Ho5Sb2 (PBE-GGA)

Data for Ho5Sb2 after structural relaxation.

Computed properties:
The space group is C2/c (15). For the formation energy without anion corrections, the calculation gives -57.4 kJ/mol of atoms. As for the crystal system: monoclinic. The value obtained for the mass density is 8.684 g cm⁻³.

```
Ho5Sb2
1.0
8.004 -3.142 0.000
8.004 3.142 0.000
-0.908 0.000 8.121
Ho Sb
10 4
Direct
0.140 0.317 0.319
0.158 0.842 0.750
0.273 0.537 0.069
0.317 0.140 0.819
0.463 0.727 0.431
0.537 0.273 0.569
0.683 0.860 0.181
0.727 0.463 0.931
0.842 0.158 0.250
0.860 0.683 0.681
0.068 0.728 0.417
0.272 0.932 0.083
0.728 0.068 0.917
0.932 0.272 0.583
```

=====

6.
## Ho3Sb2 (PBE-GGA)

Data for Ho3Sb2 after structural relaxation.

Computed properties:
The space group is Ibam (72). For the formation energy without anion corrections, the calculation gives -74.7 kJ/mol of atoms. As for the crystal system: orthorhombic. The value obtained for the mass density is 8.151 g cm⁻³.

```
Ho3Sb2
1.0
-4.203 5.757 3.108
4.203 -5.757 3.108
4.203 5.757 -3.108
Ho Sb
6 4
Direct
0.154 0.645 0.799
0.250 0.250 0.000
0.346 0.145 0.491
0.654 0.855 0.509
0.750 0.750 0.000
0.846 0.355 0.201
0.108 0.289 0.397
0.392 0.789 0.181
0.608 0.211 0.819
0.892 0.711 0.603
```

=====

7.
## Ho4Sb3 (PBE-GGA)

Data for Ho4Sb3 after structural relaxation.

Computed properties:
The space group is Pm-3m (221). For the formation energy without anion corrections, the calculation gives -74.5 kJ/mol of atoms. As for the crystal system: cubic. The value obtained for the mass density is 7.589 g cm⁻³.

```
Ho4Sb3
1.0
6.076 0.000 0.000
0.000 6.076 0.000
0.000 0.000 6.076
Ho Sb
4 3
Direct
0.000 0.000 0.000
0.000 0.500 0.500
0.500 0.000 0.500
0.500 0.500 0.000
0.000 0.000 0.500
0.000 0.500 0.000
0.500 0.000 0.000
```

=====

8.
## Ho2Sb (PBE-GGA)

Data for Ho2Sb after structural relaxation.

Computed properties:
The space group is Cmc2_1 (36). For the formation energy without anion corrections, the calculation gives -66.0 kJ/mol of atoms. As for the crystal system: orthorhombic. The value obtained for the mass density is 8.683 g cm⁻³.

```
Ho2Sb
1.0
2.105 -8.434 0.000
2.105 8.434 0.000
0.000 0.000 9.727
Ho Sb
8 4
Direct
0.029 0.971 0.500
0.155 0.845 0.850
0.307 0.693 0.088
0.359 0.641 0.662
0.641 0.359 0.162
0.693 0.307 0.588
0.845 0.155 0.350
0.971 0.029 0.000
0.207 0.793 0.364
0.469 0.531 0.260
0.531 0.469 0.760
0.793 0.207 0.864
```

=====

9.
## HoSb3 (PBE-GGA)

Data for HoSb3 after structural relaxation.

Computed properties:
The space group is Imm2 (44). For the formation energy without anion corrections, the calculation gives -38.7 kJ/mol of atoms. As for the crystal system: orthorhombic. The value obtained for the mass density is 7.954 g cm⁻³.

```
HoSb3
1.0
3.980 0.000 0.000
0.000 9.956 0.000
0.000 0.000 5.587
Ho Sb
2 6
Direct
0.000 0.000 0.000
0.500 0.500 0.500
0.000 0.275 0.702
0.000 0.500 0.043
0.000 0.725 0.702
0.500 0.000 0.543
0.500 0.225 0.202
0.500 0.775 0.202
```

=====

10.
## Ho5ScSb6 (PBE-GGA)

Data for Ho5ScSb6 after structural relaxation.

Computed properties:
The space group is C2/m (12). For the formation energy without anion corrections, the calculation gives -104.0 kJ/mol of atoms. As for the crystal system: monoclinic. The value obtained for the mass density is 7.674 g cm⁻³.

```
Ho5ScSb6
1.0
3.756 -6.507 0.000
3.756 6.507 0.000
-2.509 0.000 7.082
Ho Sc Sb
5 1 6
Direct
0.000 0.000 0.000
0.166 0.834 0.500
0.330 0.670 0.000
0.670 0.330 0.000
0.834 0.166 0.500
0.500 0.500 0.500
0.093 0.419 0.255
0.257 0.257 0.748
0.419 0.093 0.255
0.581 0.907 0.745
0.743 0.743 0.252
0.907 0.581 0.745
```

=====

11.
## HoSc5Sb4 (PBE-GGA)

Data for HoSc5Sb4 after structural relaxation.

Computed properties:
The space group is Pmmn (59). For the formation energy without anion corrections, the calculation gives -51.7 kJ/mol of atoms. As for the crystal system: orthorhombic. The value obtained for the mass density is 5.354 g cm⁻³.

```
HoSc5Sb4
1.0
9.704 0.000 0.000
0.000 9.888 0.000
0.000 0.000 5.668
Ho Sc Sb
2 10 8
Direct
0.250 0.250 0.000
0.750 0.750 0.000
0.000 0.000 0.250
0.000 0.000 0.750
0.000 0.500 0.250
0.000 0.500 0.750
0.250 0.750 0.500
0.500 0.000 0.250
0.500 0.000 0.750
0.500 0.500 0.250
0.500 0.500 0.750
0.750 0.250 0.500
0.065 0.250 0.500
0.250 0.577 0.000
0.250 0.923 0.000
0.435 0.250 0.500
0.565 0.750 0.500
0.750 0.077 0.000
0.750 0.423 0.000
0.935 0.750 0.500
```

=====

12.
## Ho8ScSb6 (PBE-GGA)

Data for Ho8ScSb6 after structural relaxation.

Computed properties:
The space group is P-3 (147). For the formation energy without anion corrections, the calculation gives -53.1 kJ/mol of atoms. As for the crystal system: trigonal. The value obtained for the mass density is 7.507 g cm⁻³.

```
Ho8ScSb6
1.0
11.150 0.000 0.000
-5.575 9.656 0.000
0.000 0.000 4.304
Ho Sc Sb
8 1 6
Direct
0.041 0.316 0.243
0.276 0.959 0.243
0.316 0.276 0.757
0.333 0.667 0.757
0.667 0.333 0.243
0.684 0.724 0.243
0.724 0.041 0.757
0.959 0.684 0.757
0.000 0.000 0.500
0.124 0.644 0.257
0.356 0.480 0.257
0.480 0.124 0.743
0.520 0.876 0.257
0.644 0.520 0.743
0.876 0.356 0.743
```

=====

> What is the formula in the first record?

HoSb3

=====

> Look up the mass density of the sixth one.

8.151 g cm⁻³

=====

> What is the formation energy without anion corrections in the ninth record?

-38.7 kJ/mol of atoms